Ti3MoBr | GGA-PBEsol | relaxed

```
5
Lattice="-3.984 -1.154 -1.802 1.282 -4.337 -0.057 -1.713 -0.561 4.147" Properties=species:S:1:pos:R:3 pbc="T T T"
Ti -0.857 -0.280 2.074
Ti -1.992 -0.577 -0.901
Ti 0.641 -2.168 -0.028
Mo -2.208 -3.026 1.145
Br 0.000 0.000 0.000
```

Computed properties:
Calculated density in g/cm³: 5.74
Space-group type: No. 221
VASP energy in eV per atom: -6.96
V in A^3/atom: 18.50
Formation energy (no corrections) in kcal/mol of atoms: 17.46